Version a
# ReMoRu2

A relaxed ReMoRu2 crystal (GGA-PBE, the Alexandria database).

```
data_ReMoRu2
_chemical_formula_sum 'Re1 Mo1 Ru2'
_cell_length_a 2.754
_cell_length_b 2.754
_cell_length_c 7.733
_cell_angle_alpha 90.00
_cell_angle_beta 90.00
_cell_angle_gamma 90.00
_symmetry_space_group_name_H-M 'P 1'
_symmetry_Int_Tables_number 1
_symmetry_space_group_name_Hall 'P 1'
loop_
_atom_site_label
_atom_site_fract_x
_atom_site_fract_y
_atom_site_fract_z
_atom_site_occupancy
Re1 0.000 0.000 0.000 1
Mo1 0.000 0.000 0.500 1
Ru1 0.500 0.500 0.245 1
Ru2 0.500 0.500 0.755 1
```


Version b
# ReMoRu2

A relaxed ReMoRu2 crystal (GGA-PBE, the Alexandria database).

```
data_ReMoRu2
_chemical_formula_sum 'Re2 Mo2 Ru4'
_cell_length_a 5.501
_cell_length_b 7.748
_cell_length_c 2.748
_cell_angle_alpha 90.00
_cell_angle_beta 90.00
_cell_angle_gamma 90.00
_symmetry_space_group_name_H-M 'P 1'
_symmetry_Int_Tables_number 1
_symmetry_space_group_name_Hall 'P 1'
loop_
_atom_site_label
_atom_site_fract_x
_atom_site_fract_y
_atom_site_fract_z
_atom_site_occupancy
Re1 0.000 0.000 0.000 1
Re2 0.500 0.500 0.000 1
Mo1 0.000 0.500 0.000 1
Mo2 0.500 0.000 0.000 1
Ru1 0.250 0.250 0.500 1
Ru2 0.250 0.750 0.500 1
Ru3 0.750 0.250 0.500 1
Ru4 0.750 0.750 0.500 1
```


Relative energies, in meV per atom, with the most stable structure set to zero: version a 9; version b 0.


Version a
# ReMoRu2

A relaxed ReMoRu2 crystal (GGA-PBE, the Alexandria database).

```
data_ReMoRu2
_chemical_formula_sum 'Re1 Mo1 Ru2'
_cell_length_a 3.906
_cell_length_b 3.906
_cell_length_c 3.841
_cell_angle_alpha 90.00
_cell_angle_beta 90.00
_cell_angle_gamma 90.00
_symmetry_space_group_name_H-M 'P 1'
_symmetry_Int_Tables_number 1
_symmetry_space_group_name_Hall 'P 1'
loop_
_atom_site_label
_atom_site_fract_x
_atom_site_fract_y
_atom_site_fract_z
_atom_site_occupancy
Re1 0.000 0.000 0.000 1
Mo1 0.500 0.500 0.000 1
Ru1 0.000 0.500 0.500 1
Ru2 0.500 0.000 0.500 1
```


Version b
# ReMoRu2

A relaxed ReMoRu2 crystal (GGA-PBE, the Alexandria database).

```
data_ReMoRu2
_chemical_formula_sum 'Re1 Mo1 Ru2'
_cell_length_a 2.749
_cell_length_b 2.749
_cell_length_c 7.800
_cell_angle_alpha 90.00
_cell_angle_beta 90.00
_cell_angle_gamma 90.00
_symmetry_space_group_name_H-M 'P 1'
_symmetry_Int_Tables_number 1
_symmetry_space_group_name_Hall 'P 1'
loop_
_atom_site_label
_atom_site_fract_x
_atom_site_fract_y
_atom_site_fract_z
_atom_site_occupancy
Re1 0.000 0.000 0.000 1
Mo1 0.500 0.500 0.732 1
Ru1 0.000 0.000 0.486 1
Ru2 0.500 0.500 0.236 1
```


Relative energies, in meV per atom, with the most stable structure set to zero: version a 0; version b 61.


Version a
# ReMoRu2

A relaxed ReMoRu2 crystal (GGA-PBE, the Alexandria database).

```
data_ReMoRu2
_chemical_formula_sum 'Re1 Mo1 Ru2'
_cell_length_a 2.764
_cell_length_b 4.241
_cell_length_c 5.232
_cell_angle_alpha 90.00
_cell_angle_beta 103.39
_cell_angle_gamma 90.00
_symmetry_space_group_name_H-M 'P 1'
_symmetry_Int_Tables_number 1
_symmetry_space_group_name_Hall 'P 1'
loop_
_atom_site_label
_atom_site_fract_x
_atom_site_fract_y
_atom_site_fract_z
_atom_site_occupancy
Re1 0.000 0.000 0.000 1
Mo1 0.903 0.500 0.711 1
Ru1 0.298 0.000 0.519 1
Ru2 0.595 0.500 0.190 1
```


Version b
# ReMoRu2

A relaxed ReMoRu2 crystal (GGA-PBE, the Alexandria database).

```
data_ReMoRu2
_chemical_formula_sum 'Re1 Mo1 Ru2'
_cell_length_a 3.218
_cell_length_b 3.218
_cell_length_c 5.810
_cell_angle_alpha 90.00
_cell_angle_beta 90.00
_cell_angle_gamma 90.00
_symmetry_space_group_name_H-M 'P 1'
_symmetry_Int_Tables_number 1
_symmetry_space_group_name_Hall 'P 1'
loop_
_atom_site_label
_atom_site_fract_x
_atom_site_fract_y
_atom_site_fract_z
_atom_site_occupancy
Re1 0.000 0.000 0.000 1
Mo1 0.500 0.500 0.719 1
Ru1 0.000 0.000 0.483 1
Ru2 0.500 0.500 0.200 1
```


Relative energies, in meV per atom, with the most stable structure set to zero: version a 0; version b 144.


Version a
# ReMoRu2

A relaxed ReMoRu2 crystal (GGA-PBE, the Alexandria database).

```
data_ReMoRu2
_chemical_formula_sum 'Re3 Mo3 Ru6'
_cell_length_a 2.741
_cell_length_b 2.741
_cell_length_c 27.114
_cell_angle_alpha 90.00
_cell_angle_beta 90.00
_cell_angle_gamma 120.00
_symmetry_space_group_name_H-M 'P 1'
_symmetry_Int_Tables_number 1
_symmetry_space_group_name_Hall 'P 1'
loop_
_atom_site_label
_atom_site_fract_x
_atom_site_fract_y
_atom_site_fract_z
_atom_site_occupancy
Re1 0.000 0.000 0.000 1
Re2 0.333 0.667 0.667 1
Re3 0.667 0.333 0.333 1
Mo1 0.000 0.000 0.500 1
Mo2 0.333 0.667 0.167 1
Mo3 0.667 0.333 0.833 1
Ru1 0.000 0.000 0.251 1
Ru2 0.000 0.000 0.749 1
Ru3 0.333 0.667 0.416 1
Ru4 0.333 0.667 0.918 1
Ru5 0.667 0.333 0.082 1
Ru6 0.667 0.333 0.584 1
```


Version b
# ReMoRu2

A relaxed ReMoRu2 crystal (GGA-PBE, the Alexandria database).

```
data_ReMoRu2
_chemical_formula_sum 'Re2 Mo2 Ru4'
_cell_length_a 3.895
_cell_length_b 3.895
_cell_length_c 7.725
_cell_angle_alpha 90.00
_cell_angle_beta 90.00
_cell_angle_gamma 90.00
_symmetry_space_group_name_H-M 'P 1'
_symmetry_Int_Tables_number 1
_symmetry_space_group_name_Hall 'P 1'
loop_
_atom_site_label
_atom_site_fract_x
_atom_site_fract_y
_atom_site_fract_z
_atom_site_occupancy
Re1 0.000 0.000 0.000 1
Re2 0.500 0.500 0.500 1
Mo1 0.000 0.000 0.500 1
Mo2 0.500 0.500 0.000 1
Ru1 0.000 0.500 0.250 1
Ru2 0.000 0.500 0.750 1
Ru3 0.500 0.000 0.250 1
Ru4 0.500 0.000 0.750 1
```


Relative energies, in meV per atom, with the most stable structure set to zero: version a 72; version b 0.


Version a
# ReMoRu2

A relaxed ReMoRu2 crystal (GGA-PBE, the Alexandria database).

```
data_ReMoRu2
_chemical_formula_sum 'Re1 Mo1 Ru2'
_cell_length_a 2.746
_cell_length_b 3.871
_cell_length_c 5.513
_cell_angle_alpha 90.00
_cell_angle_beta 90.12
_cell_angle_gamma 90.00
_symmetry_space_group_name_H-M 'P 1'
_symmetry_Int_Tables_number 1
_symmetry_space_group_name_Hall 'P 1'
loop_
_atom_site_label
_atom_site_fract_x
_atom_site_fract_y
_atom_site_fract_z
_atom_site_occupancy
Re1 0.000 0.000 0.000 1
Mo1 0.000 0.000 0.500 1
Ru1 0.500 0.500 0.245 1
Ru2 0.500 0.500 0.755 1
```


Version b
# ReMoRu2

A relaxed ReMoRu2 crystal (GGA-PBE, the Alexandria database).

```
data_ReMoRu2
_chemical_formula_sum 'Re4 Mo4 Ru8'
_cell_length_a 6.206
_cell_length_b 6.206
_cell_length_c 6.206
_cell_angle_alpha 90.00
_cell_angle_beta 90.00
_cell_angle_gamma 90.00
_symmetry_space_group_name_H-M 'P 1'
_symmetry_Int_Tables_number 1
_symmetry_space_group_name_Hall 'P 1'
loop_
_atom_site_label
_atom_site_fract_x
_atom_site_fract_y
_atom_site_fract_z
_atom_site_occupancy
Re1 0.000 0.000 0.000 1
Re2 0.000 0.500 0.500 1
Re3 0.500 0.000 0.500 1
Re4 0.500 0.500 0.000 1
Mo1 0.250 0.250 0.250 1
Mo2 0.250 0.750 0.750 1
Mo3 0.750 0.250 0.750 1
Mo4 0.750 0.750 0.250 1
Ru1 0.000 0.000 0.500 1
Ru2 0.000 0.500 0.000 1
Ru3 0.250 0.250 0.750 1
Ru4 0.250 0.750 0.250 1
Ru5 0.500 0.000 0.000 1
Ru6 0.500 0.500 0.500 1
Ru7 0.750 0.250 0.250 1
Ru8 0.750 0.750 0.750 1
```


Version c
# ReMoRu2

A relaxed ReMoRu2 crystal (GGA-PBE, the Alexandria database).

```
data_ReMoRu2
_chemical_formula_sum 'Re4 Mo4 Ru8'
_cell_length_a 6.594
_cell_length_b 6.594
_cell_length_c 5.547
_cell_angle_alpha 90.00
_cell_angle_beta 90.00
_cell_angle_gamma 90.00
_symmetry_space_group_name_H-M 'P 1'
_symmetry_Int_Tables_number 1
_symmetry_space_group_name_Hall 'P 1'
loop_
_atom_site_label
_atom_site_fract_x
_atom_site_fract_y
_atom_site_fract_z
_atom_site_occupancy
Re1 0.000 0.000 0.250 1
Re2 0.000 0.000 0.750 1
Re3 0.500 0.500 0.250 1
Re4 0.500 0.500 0.750 1
Mo1 0.000 0.500 0.250 1
Mo2 0.000 0.500 0.750 1
Mo3 0.500 0.000 0.250 1
Mo4 0.500 0.000 0.750 1
Ru1 0.230 0.270 0.000 1
Ru2 0.230 0.730 0.500 1
Ru3 0.270 0.230 0.500 1
Ru4 0.270 0.770 0.000 1
Ru5 0.730 0.230 0.000 1
Ru6 0.730 0.770 0.500 1
Ru7 0.770 0.270 0.500 1
Ru8 0.770 0.730 0.000 1
```


Version d
# ReMoRu2

A relaxed ReMoRu2 crystal (GGA-PBE, the Alexandria database).

```
data_ReMoRu2
_chemical_formula_sum 'Re2 Mo2 Ru4'
_cell_length_a 3.034
_cell_length_b 4.425
_cell_length_c 9.002
_cell_angle_alpha 90.00
_cell_angle_beta 90.00
_cell_angle_gamma 90.00
_symmetry_space_group_name_H-M 'P 1'
_symmetry_Int_Tables_number 1
_symmetry_space_group_name_Hall 'P 1'
loop_
_atom_site_label
_atom_site_fract_x
_atom_site_fract_y
_atom_site_fract_z
_atom_site_occupancy
Re1 0.000 0.000 0.000 1
Re2 0.500 0.500 0.500 1
Mo1 0.000 0.500 0.275 1
Mo2 0.500 0.000 0.775 1
Ru1 0.000 0.000 0.536 1
Ru2 0.000 0.500 0.749 1
Ru3 0.500 0.000 0.249 1
Ru4 0.500 0.500 0.036 1
```


Relative energies, in meV per atom, with the most stable structure set to zero: version a 0; version b 318; version c 304; version d 292.


Version a
# ReMoRu2

A relaxed ReMoRu2 crystal (GGA-PBE, the Alexandria database).

```
data_ReMoRu2
_chemical_formula_sum 'Re4 Mo4 Ru8'
_cell_length_a 5.600
_cell_length_b 5.600
_cell_length_c 11.093
_cell_angle_alpha 90.00
_cell_angle_beta 90.00
_cell_angle_gamma 90.00
_symmetry_space_group_name_H-M 'P 1'
_symmetry_Int_Tables_number 1
_symmetry_space_group_name_Hall 'P 1'
loop_
_atom_site_label
_atom_site_fract_x
_atom_site_fract_y
_atom_site_fract_z
_atom_site_occupancy
Re1 0.000 0.000 0.000 1
Re2 0.000 0.500 0.250 1
Re3 0.500 0.000 0.750 1
Re4 0.500 0.500 0.500 1
Mo1 0.000 0.000 0.500 1
Mo2 0.000 0.500 0.750 1
Mo3 0.500 0.000 0.250 1
Mo4 0.500 0.500 0.000 1
Ru1 0.246 0.250 0.125 1
Ru2 0.250 0.746 0.375 1
Ru3 0.250 0.754 0.875 1
Ru4 0.254 0.250 0.625 1
Ru5 0.746 0.750 0.625 1
Ru6 0.750 0.246 0.875 1
Ru7 0.750 0.254 0.375 1
Ru8 0.754 0.750 0.125 1
```


Version b
# ReMoRu2

A relaxed ReMoRu2 crystal (GGA-PBE, the Alexandria database).

```
data_ReMoRu2
_chemical_formula_sum 'Re2 Mo2 Ru4'
_cell_length_a 3.868
_cell_length_b 3.868
_cell_length_c 7.843
_cell_angle_alpha 90.00
_cell_angle_beta 90.00
_cell_angle_gamma 90.00
_symmetry_space_group_name_H-M 'P 1'
_symmetry_Int_Tables_number 1
_symmetry_space_group_name_Hall 'P 1'
loop_
_atom_site_label
_atom_site_fract_x
_atom_site_fract_y
_atom_site_fract_z
_atom_site_occupancy
Re1 0.000 0.000 0.000 1
Re2 0.500 0.500 0.500 1
Mo1 0.000 0.500 0.250 1
Mo2 0.500 0.000 0.750 1
Ru1 0.000 0.000 0.500 1
Ru2 0.000 0.500 0.750 1
Ru3 0.500 0.000 0.250 1
Ru4 0.500 0.500 0.000 1
```


Relative energies, in meV per atom, with the most stable structure set to zero: version a 1337; version b 0.